CrBiIO2 | Alexandria | GGA+U | relaxed; energy = -5.769 eV per atom; size of the total moment = 0.80 μB/atom; SG = P2_1/m, No. 11; excess energy over the best structure of this formula in the dataset = 0.000 eV per atom
1.0
6.9670 0.0000 0.0000
0.0000 4.1464 0.0000
-0.3932 0.0000 7.7108
Cr Bi I O
2 2 2 4
direct
0.0473 0.2500 0.3690
0.9527 0.7500 0.6310
0.1882 0.2500 0.8947
0.8118 0.7500 0.1053
0.4796 0.2500 0.2643
0.5204 0.7500 0.7357
0.0163 0.2500 0.6347
0.0350 0.7500 0.8908
0.9650 0.2500 0.1092
0.9837 0.7500 0.3653